1.
U2B10Ru GGA-PBE optimized geometry; density of states at the Fermi level = 21.03 states/eV per cell; calculated formation energy = -4.901 eV/f.u.
1.0
4.122 0.000 0.000
0.000 5.635 0.000
0.000 0.000 11.255
B U Ru
20 4 2
Cartesian
0.000 0.666 6.096
1.250 4.059 4.290
0.000 2.152 0.469
2.873 1.241 1.338
0.000 4.970 5.158
0.000 3.129 3.455
0.000 3.483 10.786
0.000 0.311 2.172
1.250 1.241 1.338
0.000 0.749 7.851
1.250 1.576 6.965
0.000 2.506 7.799
2.873 1.576 6.965
1.250 4.394 9.917
0.000 2.069 2.223
2.873 4.394 9.917
0.000 3.566 9.031
2.873 4.059 4.290
0.000 4.886 3.404
0.000 5.324 9.083
2.061 1.164 4.099
2.061 1.653 9.726
2.061 3.982 1.529
2.061 4.471 7.156
0.000 0.000 0.000
0.000 2.818 5.627

***

2.
Th7In2C2 GGA-PBE optimized geometry; density of states at the Fermi level = 12.80 states/eV per cell; calculated formation energy = 1.907 eV/f.u.
1.0
8.132 0.237 0.342
-0.648 6.872 -0.106
-0.648 -2.512 6.397
Th In C
7 2 2
Cartesian
0.579 1.233 5.822
1.101 1.790 2.583
0.579 5.019 3.199
5.736 2.807 4.051
6.257 -0.422 3.434
6.257 3.364 0.811
0.000 0.000 0.000
3.418 4.453 1.823
3.418 0.143 4.810
6.904 1.549 2.235
-0.068 3.048 4.398

***

3.
CoB2W GGA-PBE optimized geometry; ΔE to the lowest computed polymorph = 0.000 eV per atom; density of states at the Fermi level = 2.03 states/eV per cell; calculated formation energy = -1.182 eV/f.u.
1.0
-2.625 0.857 1.380
-1.169 -2.713 -0.539
2.739 -1.744 2.841
B Co W
2 1 1
Cartesian
1.286 -2.660 2.235
1.509 -0.971 1.616
-0.559 -1.738 1.599
-1.918 0.625 1.014

***

4.
PrPaBi2O8 GGA-PBE optimized geometry; formation energy from raw total energies = -25.31 eV/f.u.
1.0
6.431 0.366 0.000
-2.524 5.926 0.000
-1.953 -3.146 5.270
O Pa Pr Bi
8 1 1 2
Cartesian
1.440 -0.589 1.534
4.991 0.955 1.534
-0.005 1.808 4.312
3.576 3.944 0.958
0.005 -1.808 4.312
3.311 -1.751 3.736
0.331 2.348 0.958
3.120 2.117 3.736
0.000 0.000 0.000
-1.262 2.963 2.635
3.215 0.183 2.635
1.953 3.146 0.000

***

5.
Ac4CdSn3 GGA-PBE optimized geometry; density of states at the Fermi level = 8.55 states/eV per cell; calculated formation energy = -4.849 eV/f.u.
1.0
4.931 0.000 0.000
0.000 4.650 0.000
0.000 0.000 12.451
Ac Cd Sn
4 1 3
Cartesian
0.000 2.325 10.728
2.465 0.000 7.953
2.465 2.325 4.482
0.000 0.000 1.739
2.465 2.325 0.946
2.465 0.000 11.467
0.000 0.000 5.216
0.000 2.325 7.272

***

6.
CsRb GGA-PBE optimized geometry; ΔE to the lowest computed polymorph = 0.254 eV per atom; density of states at the Fermi level = 5.00 states/eV per cell; calculated formation energy = 0.506 eV/f.u.
1.0
10.830 0.000 0.000
0.000 10.830 0.000
0.000 0.000 10.830
Cs Rb
4 4
Cartesian
0.000 0.000 0.000
0.000 5.415 5.415
5.415 0.000 5.415
5.415 5.415 0.000
2.707 2.707 2.707
8.122 8.122 2.707
8.122 2.707 8.122
2.707 8.122 8.122

***

7.
NaBi2H GGA-PBE optimized geometry; ΔE to the lowest computed polymorph = 0.138 eV per atom; density of states at the Fermi level = 1.86 states/eV per cell
1.0
6.437 0.000 0.000
0.000 6.437 0.000
3.219 3.219 5.724
Bi Na H
4 2 2
Cartesian
8.046 6.811 4.293
3.592 1.609 1.431
4.828 6.064 4.293
2.845 4.828 1.431
0.000 0.000 0.000
6.437 3.219 2.862
3.219 6.437 2.862
3.219 3.219 0.000

***

8.
KCd2Si2 GGA-PBE optimized geometry; ΔE to the lowest computed polymorph = 0.261 eV per atom; formation energy from raw total energies = 1.46 eV/f.u.; density of states at the Fermi level = 3.52 states/eV per cell
1.0
-0.703 7.673 3.989
-7.535 1.420 -4.059
-1.471 -1.316 2.271
K Si Cd
2 4 4
Cartesian
0.000 0.000 0.000
-4.119 4.547 -0.035
-7.543 5.587 0.342
-3.905 6.289 3.106
-5.805 1.489 -0.905
-2.166 2.191 1.859
-1.450 5.049 1.985
-5.382 7.549 0.886
-6.788 4.044 -2.055
-2.856 1.544 -0.956